Entry from Alexandria: an optimized crystal structure of Tl3Cr2CuF9 (PBE with a Hubbard U).

The space group is P-3m1 (No. 164) and the conventional cell measures 5.9845, 5.9845 and 7.3715 Å, with angles of 90.00, 90.00 and 120.00 degrees. The inequivalent atoms are Tl at (0.0000, 0.0000, 0.0000), Tl at (0.3333, 0.6667, 0.6464), Cr at (0.3333, 0.6667, 0.1610), Cu at (0.0000, 0.0000, 0.5000), F at (0.0000, 0.5000, 0.0000) and F at (0.1730, 0.3461, 0.3212).

For the calculated density, the calculation gives 6.91 g cm⁻³. The density of states at the Fermi level is 0.257 states/eV per atom. Its calculated total energy is -4.95 eV per atom.